1.
DFT (PBE) results for crystalline V2TcRhN at its relaxed geometry.

Unit cell a=3.9511 b=3.9511 c=3.9750 alpha=90.00 beta=90.00 gamma=90.00
Last column: nearest neighbours and their distance in Å.
Atoms (fractional coordinates):
N1 0.0000 0.0000 0.0000  4 V 1.98, 2 Tc 1.99
Rh1 0.5000 0.5000 0.5000  4 Tc 2.79, 8 V 2.80
Tc1 0.0000 0.0000 0.5000  2 N 1.99
V1 0.0000 0.5000 0.0000  2 N 1.98
V2 0.5000 0.0000 0.0000  2 N 1.98

Output
* N(E_F): 5.39 states/eV per cell
* uncorrected formation energy: -0.462 eV per atom
* magnetic moment: 0.00 Bohr magnetons per cell
* E_tot: -9.3184 eV per atom

***

2.
DFT (PBE) results for crystalline VTc2RhN at its relaxed geometry.

Unit cell a=4.0122 b=4.0122 c=3.9556 alpha=90.00 beta=90.00 gamma=90.00
Last column: nearest neighbours and their distance in Å.
Atoms (fractional coordinates):
N1 0.0000 0.0000 0.0000  2 V 1.98, 4 Tc 2.01
Rh1 0.5000 0.5000 0.5000  8 Tc 2.82, 4 V 2.84
Tc1 0.0000 0.5000 0.0000  2 N 2.01
Tc2 0.5000 0.0000 0.0000  2 N 2.01
V1 0.0000 0.0000 0.5000  2 N 1.98

Output
* N(E_F): 6.45 states/eV per cell
* uncorrected formation energy: -0.239 eV per atom
* magnetic moment: 0.00 Bohr magnetons per cell
* E_tot: -9.3443 eV per atom

***

3.
DFT (PBE) results for crystalline TcRhW2N at its relaxed geometry.

Unit cell a=4.1013 b=4.1013 c=4.0329 alpha=90.00 beta=90.00 gamma=90.00
Last column: nearest neighbours and their distance in Å.
Atoms (fractional coordinates):
Rh1 0.5000 0.5000 0.5000  8 W 2.88, 4 Tc 2.90
Tc1 0.0000 0.0000 0.5000  2 N 2.02
W1 0.0000 0.5000 0.0000  2 N 2.05
W2 0.5000 0.0000 0.0000  2 N 2.05
N1 0.0000 0.0000 0.0000  2 Tc 2.02, 4 W 2.05

Output
* N(E_F): 4.30 states/eV per cell
* uncorrected formation energy: -0.058 eV per atom
* magnetic moment: 0.00 Bohr magnetons per cell
* E_tot: -10.4477 eV per atom